Entry 1:
This record from the Alexandria database describes SbPS2 after structural relaxation. The functional is PBE.

Results
- Energy relative to the lowest polymorph listed for this composition: 0.000 eV/atom
- ΔE_f (raw): 0.13 eV per atom
- Energy: -4.316 eV/atom

Cell lengths 3.4692, 3.4692, 24.7977 Å; angles 90.00, 90.00, 120.00 degrees
Space group R-3m (No. 166, hexagonal axes)
One atom of each set of equivalent atoms:
1 Sb 0.0000 0.0000 0.0000 (multiplicity 3)
2 P 0.0000 0.0000 0.5000 (multiplicity 3)
3 S 0.0000 0.0000 0.1099 (multiplicity 6)

***

Entry 2:
This record from the Alexandria database describes Co5Re after structural relaxation. The functional is PBE.

Results
- Energy relative to the lowest polymorph listed for this composition: 0.000 eV/atom
- Energy: -7.967 eV/atom
- Formation energy from the elements: 0.03 eV per atom

Cell lengths 4.3842, 4.3842, 4.0469 Å; angles 90.00, 90.00, 120.00 degrees
Space group P-62m (No. 189)
One atom of each set of equivalent atoms:
1 Co 0.0000 0.6573 0.0000 (multiplicity 3)
2 Co 0.3333 0.6667 0.5000 (multiplicity 2)
3 Re 0.0000 0.0000 0.5000 (multiplicity 1)

***

Entry 3:
This record from the Alexandria database describes PuTlPt4 after structural relaxation. The functional is PBE.

Results
- Energy: -7.374 eV/atom
- Formation energy from the elements: -0.56 eV per atom

Cell lengths 7.6993, 7.6993, 7.6993 Å; angles 90.00, 90.00, 90.00 degrees
Space group F-43m (No. 216)
One atom of each set of equivalent atoms:
1 Pu 0.0000 0.0000 0.0000 (multiplicity 4)
2 Tl 0.2500 0.2500 0.7500 (multiplicity 4)
3 Pt 0.1248 0.1248 0.3752 (multiplicity 16)

***

Entry 4:
This record from the Alexandria database describes KSrTa2In after structural relaxation. The functional is PBE.

Results
- Energy: -4.285 eV/atom
- Formation energy from the elements: 1.56 eV per atom

Cell lengths 5.3420, 5.3420, 6.0015 Å; angles 90.00, 90.00, 90.00 degrees
Space group P4/mmm (No. 123)
One atom of each set of equivalent atoms:
1 K 0.0000 0.0000 0.0000 (multiplicity 1)
2 Sr 0.5000 0.5000 0.0000 (multiplicity 1)
3 Ta 0.0000 0.5000 0.5000 (multiplicity 2)
4 In 0.0000 0.0000 0.5000 (multiplicity 1)

***

Entry 5:
This record from the Alexandria database describes Ba5InI5 after structural relaxation. The functional is PBE.

Results
- ΔE_f (raw): -1.31 eV per atom
- Energy: -3.142 eV/atom

Cell lengths 16.4937, 7.0807, 10.2426 Å; angles 90.00, 108.65, 90.00 degrees
Space group C2/m (No. 12)
One atom of each set of equivalent atoms:
1 Ba 0.0000 0.0000 0.0000 (multiplicity 2)
2 Ba 0.1497 0.5000 0.8382 (multiplicity 4)
3 Ba 0.1528 0.5000 0.3131 (multiplicity 4)
4 In 0.0000 0.5000 0.0000 (multiplicity 2)
5 I 0.0000 0.5000 0.5000 (multiplicity 2)
6 I 0.1754 0.0000 0.8404 (multiplicity 4)
7 I 0.1875 0.0000 0.3368 (multiplicity 4)

***

Entry 6:
This record from the Alexandria database describes Th2MgGa3Au4 after structural relaxation. The functional is PBE.

Results
- Energy: -4.444 eV/atom
- Formation energy from the elements: -0.58 eV per atom

Cell lengths 4.3733, 4.3733, 11.0276 Å; angles 90.00, 90.00, 90.00 degrees
Space group P-4m2 (No. 115)
One atom of each set of equivalent atoms:
1 Th 0.0000 0.5000 0.2351 (multiplicity 2)
2 Mg 0.0000 0.0000 0.5000 (multiplicity 1)
3 Ga 0.0000 0.5000 0.8666 (multiplicity 2)
4 Ga 0.5000 0.5000 0.5000 (multiplicity 1)
5 Au 0.0000 0.0000 0.0000 (multiplicity 1)
6 Au 0.0000 0.5000 0.6398 (multiplicity 2)
7 Au 0.5000 0.5000 0.0000 (multiplicity 1)

***

Entry 7:
This record from the Alexandria database describes Zr2TaAu after structural relaxation. The functional is PBE.

Results
- Energy relative to the lowest polymorph listed for this composition: 0.123 eV/atom
- Energy: -8.173 eV/atom
- Formation energy from the elements: -0.12 eV per atom

Cell lengths 6.8302, 6.8302, 6.8302 Å; angles 90.00, 90.00, 90.00 degrees
Space group Fm-3m (No. 225)
One atom of each set of equivalent atoms:
1 Zr 0.2500 0.2500 0.2500 (multiplicity 8)
2 Ta 0.0000 0.0000 0.0000 (multiplicity 4)
3 Au 0.0000 0.0000 0.5000 (multiplicity 4)